# BaVAg2F8 (GGA+U, relaxed)
data_BaVAg2F8
_space_group_name_H-M_alt 'P 1'
_space_group_IT_number 1
_cell_length_a 4.619
_cell_length_b 5.673
_cell_length_c 7.686
_cell_angle_alpha 89.97
_cell_angle_beta 89.99
_cell_angle_gamma 92.38
loop_
_space_group_symop_operation_xyz
'x,y,z'
loop_
_atom_site_label
_atom_site_fract_x
_atom_site_fract_y
_atom_site_fract_z
Ba1 0.000 0.000 0.500
F1 0.681 0.793 0.000
F2 0.491 0.251 0.500
F3 0.853 0.191 0.816
F4 0.853 0.190 0.183
F5 0.319 0.207 0.000
F6 0.147 0.809 0.184
F7 0.509 0.749 0.500
F8 0.147 0.810 0.817
V1 0.000 0.000 0.000
Ag1 0.500 0.500 0.753
Ag2 0.500 0.500 0.247
# Spin magnetization (μB/atom): 0.0817
# Mass density (g/cm3): 4.59
# VASP energy (eV per atom): -4.927
# Symmetry: No. 10